[1]
DFT (PBE) results for LaBeAs2 after structural relaxation.

Structure (POSCAR):
```
LaBeAs2
1.0
6.9582 0.0000 0.0000
0.0000 6.9582 0.0000
0.0000 0.0000 6.9582
La Be As
4 4 8
Cartesian
0.0000 0.0000 0.0000 La
0.0000 3.4791 3.4791 La
3.4791 0.0000 3.4791 La
3.4791 3.4791 0.0000 La
1.7395 1.7395 5.2186 Be
1.7395 5.2186 1.7395 Be
5.2186 1.7395 1.7395 Be
5.2186 5.2186 5.2186 Be
0.0000 0.0000 3.4791 As
0.0000 3.4791 0.0000 As
1.7395 1.7395 1.7395 As
1.7395 5.2186 5.2186 As
3.4791 0.0000 0.0000 As
3.4791 3.4791 3.4791 As
5.2186 1.7395 5.2186 As
5.2186 5.2186 1.7395 As
```

Output
Magnetic moment   0.00 μB per atom
Formation energy from the elements   -8 kJ/mol of formula units
Fermi-level density of states   0.74 states/eV/atom
DFT total energy   -4.51 eV per atom



[2]
DFT (PBE) results for PuPaAsRh after structural relaxation.

Structure (POSCAR):
```
PuPaAsRh
1.0
3.9593 0.0000 0.0000
0.0000 3.9593 0.0000
0.0000 0.0000 11.1141
Pu Pa As Rh
2 2 2 2
Cartesian
0.9898 2.9695 0.0000 Pu
2.9695 0.9898 0.0000 Pu
0.9898 0.9898 3.5179 Pa
2.9695 2.9695 7.5962 Pa
0.9898 0.9898 6.4985 As
2.9695 2.9695 4.6156 As
0.9898 0.9898 8.9587 Rh
2.9695 2.9695 2.1554 Rh
```

Output
Magnetic moment   1.29 μB per atom
Formation energy from the elements   -163 kJ/mol of formula units
Fermi-level density of states   2.24 states/eV/atom
DFT total energy   -9.38 eV per atom



[3]
DFT (PBE) results for LiTb6Ir5 after structural relaxation.

Structure (POSCAR):
```
LiTb6Ir5
1.0
2.4076 -7.2986 0.0000
2.4076 7.2986 0.0000
0.0000 0.0000 7.1013
Li Tb Ir
1 6 5
Cartesian
0.0000 0.0000 0.0000 Li
2.4076 4.8188 1.7904 Tb
2.4076 4.8188 5.3109 Tb
2.4076 0.0000 1.8461 Tb
2.4076 0.0000 5.2552 Tb
2.4076 -4.8188 1.7904 Tb
2.4076 -4.8188 5.3109 Tb
0.0000 0.0000 3.5507 Ir
2.4076 2.4880 3.5507 Ir
2.4076 2.3265 0.0000 Ir
2.4076 -2.3265 0.0000 Ir
2.4076 -2.4880 3.5507 Ir
```

Output
Magnetic moment   0.00 μB per atom
Formation energy from the elements   -813 kJ/mol of formula units
Fermi-level density of states   0.65 states/eV/atom
DFT total energy   -6.87 eV per atom